Record 1
32
Lattice="-3.310 -2.165 -2.135 1.350 -8.727 6.756 -9.249 5.417 8.845" Properties=species:S:1:pos:R:3 comment="CaCdSi2 | Alexandria | PBE | relaxed" e_tot_ev_per_cell=-117.1 dos_ef_per_ev_cell=7.136 total_magnetization_mub_per_cell=0.000 e_form_raw_ev_per_atom=-0.2184 pbc="T T T"
Ca -8.239 -1.960 7.664
Ca -7.008 -4.598 13.160
Ca -2.970 -3.514 5.802
Ca -4.201 -0.877 0.306
Ca -10.940 1.425 8.419
Ca -4.920 -4.018 9.335
Ca -0.269 -6.899 5.047
Ca -6.289 -1.457 4.131
Cd -10.407 -1.399 10.456
Cd -5.949 2.010 4.819
Cd -0.802 -4.075 3.010
Cd -5.260 -7.484 8.647
Cd -4.068 -3.362 2.619
Cd -2.285 -6.323 7.587
Cd -7.141 -2.112 10.847
Cd -8.924 0.849 5.879
Si -10.181 -4.825 13.580
Si -5.054 -1.809 7.303
Si -1.028 -0.649 -0.114
Si -6.155 -3.666 6.163
Si -9.662 -3.683 11.618
Si -6.065 0.229 6.804
Si -1.547 -1.791 1.849
Si -5.144 -5.704 6.663
Si -8.071 -4.440 9.919
Si -7.715 1.371 8.205
Si -3.138 -1.034 3.547
Si -3.494 -6.845 5.261
Si -7.078 -6.478 10.445
Si -8.214 0.207 10.158
Si -4.131 1.004 3.021
Si -2.995 -5.681 3.308

---

Record 2
4
Lattice="-0.996 -0.250 4.762 2.033 -3.763 -1.981 2.338 0.371 1.101" Properties=species:S:1:pos:R:3 comment="BeCuRu2 | Alexandria | PBE | relaxed" e_tot_ev_per_cell=-25.3 dos_ef_per_ev_cell=4.232 e_form_ev_per_atom=0.265 total_magnetization_mub_per_cell=0.003 pbc="T T T"
Ru 0.000 0.000 0.000
Ru 2.186 -1.696 -0.440
Cu 0.671 0.060 2.931
Be 0.518 -2.006 1.391

---

Record 3
8
Lattice="-4.194 5.242 3.973 -6.489 -2.526 -3.517 -5.756 -0.643 2.431" Properties=species:S:1:pos:R:3 comment="AgSb2Pd | Alexandria | PBE | relaxed" e_tot_ev_per_cell=-32.3 dos_ef_per_ev_cell=4.097 total_magnetization_mub_per_cell=0.000 e_form_raw_ev_per_atom=0.0400 pbc="T T T"
Sb -4.744 2.641 2.531
Sb -6.147 -0.925 -0.973
Sb -8.521 0.459 1.887
Sb -13.468 1.971 2.329
Pd -5.342 1.358 0.228
Pd -8.794 -0.906 -0.429
Ag 0.000 0.000 0.000
Ag -7.646 2.979 3.316

---

Record 4
13
Lattice="6.030 0.000 0.000 3.015 5.222 0.000 3.015 1.741 11.106" Properties=species:S:1:pos:R:3 comment="Th6Cd7 | Alexandria | PBE | relaxed" e_tot_ev_per_cell=-52.5 dos_ef_per_ev_cell=12.960 e_form_ev_per_atom=-0.120 total_magnetization_mub_per_cell=0.000 pbc="T T T"
Th 9.045 5.222 5.541
Th 3.015 1.741 5.565
Th 6.030 3.481 0.549
Th 6.030 3.481 10.557
Th 6.030 3.481 4.001
Th 6.030 3.481 7.105
Cd 0.000 0.000 0.000
Cd 9.045 3.503 8.650
Cd 7.556 6.082 8.650
Cd 10.534 6.082 8.650
Cd 1.526 0.881 2.456
Cd 3.015 3.460 2.456
Cd 4.504 0.881 2.456